Record 1
6
Lattice="1.508 4.989 0.014 -1.508 4.989 0.014 0.000 2.184 6.239" Properties=species:S:1:pos:R:3 comment="Cr2Sb (PBE, relaxed)" mass_density_g_cm3=7.99 e_tot_ev_per_atom=-7.450 raw_formation_energy_ev_per_fu=1.02 pbc="T T T"
Cr 0.000 10.137 1.819
Cr 0.000 3.985 0.198
Cr 0.000 2.025 4.447
Cr 0.000 8.177 6.069
Sb 0.000 7.463 2.130
Sb 0.000 4.699 4.137



Record 2
16
Lattice="8.090 0.211 0.010 -5.084 6.296 0.010 1.510 3.270 7.261" Properties=species:S:1:pos:R:3 comment="Cr3Sb5 (PBE, relaxed)" mass_density_g_cm3=6.74 e_tot_ev_per_atom=-5.875 raw_formation_energy_ev_per_fu=2.48 de_polymorph_mev_per_atom=0.0 pbc="T T T"
Sb 5.866 4.050 3.654
Sb 6.038 0.670 0.917
Sb -1.894 8.302 6.367
Sb 0.495 3.230 2.063
Sb 3.641 5.725 2.073
Sb 0.502 3.245 5.208
Sb 3.182 1.989 0.917
Sb 0.962 6.983 6.367
Sb 3.647 5.740 5.218
Sb -0.724 7.086 3.640
Cr 0.580 1.262 0.009
Cr 2.102 7.727 3.651
Cr 3.017 3.357 3.641
Cr 6.609 5.659 5.946
Cr -1.490 5.425 1.337
Cr 2.087 4.514 0.019



Record 3
6
Lattice="1.585 -6.642 0.000 1.585 6.642 0.000 0.000 0.000 4.236" Properties=species:S:1:pos:R:3 comment="Cr2Sb (PBE, relaxed)" mass_density_g_cm3=8.41 e_tot_ev_per_atom=-7.399 raw_formation_energy_ev_per_fu=1.17 pbc="T T T"
Sb 1.585 -5.382 1.059
Sb 1.585 5.382 3.177
Cr 1.585 -3.487 3.177
Cr 1.585 1.266 3.177
Cr 1.585 -1.266 1.059
Cr 1.585 3.487 1.059



Record 4
4
Lattice="-1.392 -0.011 -2.727 -1.600 -0.614 2.538 -1.664 7.707 0.817" Properties=species:S:1:pos:R:3 comment="Cr3Sb (PBE, relaxed)" mass_density_g_cm3=7.17 e_tot_ev_per_atom=-7.680 raw_formation_energy_ev_per_fu=2.27 pbc="T T T"
Cr -1.877 1.714 -0.768
Cr -0.056 0.260 0.028
Cr -0.776 3.593 0.381
Sb -2.709 5.568 -0.360



Record 5
4
Lattice="-2.283 -1.082 1.897 0.344 -2.888 -1.233 3.960 -1.258 4.049" Properties=species:S:1:pos:R:3 comment="Cr3Sb (PBE, relaxed)" mass_density_g_cm3=7.97 e_tot_ev_per_atom=-7.900 raw_formation_energy_ev_per_fu=1.39 pbc="T T T"
Cr 2.000 -2.928 3.368
Cr 3.902 -1.239 3.989
Cr 2.038 -0.647 2.084
Sb 0.020 -2.299 1.344



Record 6
6
Lattice="-3.696 -0.773 3.017 -4.368 -1.094 -1.759 -1.779 -4.461 0.549" Properties=species:S:1:pos:R:3 comment="Cr5Sb (PBE, relaxed)" mass_density_g_cm3=7.94 e_tot_ev_per_atom=-8.410 raw_formation_energy_ev_per_fu=1.78 de_polymorph_mev_per_atom=95.3 pbc="T T T"
Cr -4.301 -3.570 -0.385
Cr -3.964 -3.409 2.014
Cr -6.157 -3.958 1.131
Cr -5.264 -1.718 0.855
Cr -2.461 -1.582 0.452
Sb 0.000 0.000 0.000



Record 7
6
Lattice="-4.384 3.488 4.636 1.437 -5.692 -4.290 2.319 -2.465 4.047" Properties=species:S:1:pos:R:3 comment="CrSb2 (PBE, relaxed)" mass_density_g_cm3=7.16 e_tot_ev_per_atom=-5.733 raw_formation_energy_ev_per_fu=0.67 pbc="T T T"
Cr 0.877 -4.511 -1.531
Cr -1.505 -0.159 5.924
Sb -1.194 -1.245 1.645
Sb 2.227 -6.045 0.199
Sb -2.856 1.375 4.193
Sb 0.566 -3.425 2.748



Record 8
5
Lattice="5.062 0.000 0.000 0.000 5.062 0.000 0.000 0.000 5.062" Properties=species:S:1:pos:R:3 comment="CrSb4 (PBE, relaxed)" mass_density_g_cm3=6.90 e_tot_ev_per_atom=-4.793 raw_formation_energy_ev_per_fu=2.15 de_polymorph_mev_per_atom=170.5 pbc="T T T"
Cr 2.531 2.531 2.531
Sb 2.531 0.000 2.531
Sb 0.000 0.000 0.000
Sb 0.000 2.531 2.531
Sb 2.531 2.531 0.000



Record 9
6
Lattice="-4.438 -1.838 -3.885 -4.950 3.573 -0.949 -0.745 2.870 -5.420" Properties=species:S:1:pos:R:3 comment="CrSb2 (PBE, relaxed)" mass_density_g_cm3=5.89 e_tot_ev_per_atom=-5.141 raw_formation_energy_ev_per_fu=2.45 pbc="T T T"
Cr -5.066 2.302 -5.126
Cr -7.599 3.453 -7.690
Sb -1.267 0.576 -1.282
Sb -1.639 2.011 -3.991
Sb -3.485 -0.344 -3.224
Sb -3.741 2.362 -1.756



Record 10
6
Lattice="1.544 4.562 -0.070 -1.544 4.562 -0.070 0.000 2.396 6.323" Properties=species:S:1:pos:R:3 comment="Cr2Sb (PBE, relaxed)" mass_density_g_cm3=8.37 e_tot_ev_per_atom=-7.418 raw_formation_energy_ev_per_fu=1.12 pbc="T T T"
Cr 0.000 2.696 2.834
Cr 0.000 8.824 3.350
Cr 0.000 3.749 5.529
Cr 0.000 7.771 0.655
Sb 0.000 5.281 1.383
Sb 0.000 6.238 4.800



Record 11
10
Lattice="1.707 -6.738 4.263 0.873 -1.965 6.777 -3.574 -4.117 0.289" Properties=species:S:1:pos:R:3 comment="Cr3Sb2 (PBE, relaxed)" mass_density_g_cm3=7.98 e_tot_ev_per_atom=-6.974 raw_formation_energy_ev_per_fu=2.25 pbc="T T T"
Cr -1.786 -6.355 4.716
Cr -0.739 -10.526 9.813
Cr 1.566 -6.717 4.352
Cr -0.389 -3.184 2.922
Cr -0.182 -6.320 7.231
Cr -1.727 -8.559 7.799
Sb -2.773 -4.501 2.861
Sb 0.283 -4.464 5.185
Sb -0.163 -8.522 5.435
Sb 0.689 -8.157 9.161



Record 12
6
Lattice="-3.335 -0.559 0.656 -1.065 -0.548 -5.878 1.219 -6.793 0.412" Properties=species:S:1:pos:R:3 comment="CrSb2 (PBE, relaxed)" mass_density_g_cm3=6.87 e_tot_ev_per_atom=-5.874 raw_formation_energy_ev_per_fu=0.25 pbc="T T T"
Cr 0.000 0.000 0.000
Cr -1.590 -3.950 -2.405
Sb -1.839 -1.392 -1.492
Sb -1.341 -6.508 -3.318
Sb 0.586 -4.433 -0.800
Sb -0.431 -2.908 -4.667



Record 13
4
Lattice="-0.124 1.642 5.341 3.126 -2.949 3.573 0.776 2.457 -4.960" Properties=species:S:1:pos:R:3 comment="Sc2CrSb (PBE, relaxed)" mass_density_g_cm3=5.31 e_tot_ev_per_atom=-6.835 raw_formation_energy_ev_per_fu=-0.93 pbc="T T T"
Cr 1.502 -0.653 4.458
Sc 3.003 -1.306 8.914
Sc 1.077 1.723 2.419
Sb 2.701 -0.573 1.534



Record 14
4
Lattice="-1.648 -3.760 -0.096 1.687 -3.041 2.184 -3.655 -0.779 5.591" Properties=species:S:1:pos:R:3 comment="ScCrSb2 (PBE, relaxed)" mass_density_g_cm3=6.15 e_tot_ev_per_atom=-6.378 raw_formation_energy_ev_per_fu=-1.31 de_polymorph_mev_per_atom=0.0 pbc="T T T"
Cr -0.904 -1.895 1.920
Sb -1.710 -3.830 3.709
Sb -0.059 -6.762 2.218
Sc -2.712 -5.685 5.759



Record 15
4
Lattice="5.401 0.007 0.000 2.034 5.003 0.000 -3.717 -2.505 3.012" Properties=species:S:1:pos:R:3 comment="Sc2CrSb (PBE, relaxed)" mass_density_g_cm3=5.38 e_tot_ev_per_atom=-6.860 raw_formation_energy_ev_per_fu=-1.03 pbc="T T T"
Cr 1.017 2.502 1.506
Sc 0.000 0.000 0.000
Sc 3.717 2.505 0.000
Sb 2.700 0.004 1.506



Record 16
4
Lattice="3.677 0.000 0.000 0.000 3.649 0.009 0.000 3.633 6.194" Properties=species:S:1:pos:R:3 comment="Sc2CrSb (PBE, relaxed)" mass_density_g_cm3=5.27 e_tot_ev_per_atom=-6.856 raw_formation_energy_ev_per_fu=-1.01 pbc="T T T"
Sb 1.839 5.462 4.652
Sc 0.000 3.650 0.041
Sc 0.000 3.640 3.069
Cr 1.839 1.821 1.551



Record 17
4
Lattice="5.709 -0.005 -0.043 4.377 3.664 -0.043 0.882 0.320 4.272" Properties=species:S:1:pos:R:3 comment="ScCrSb2 (PBE, relaxed)" mass_density_g_cm3=6.31 e_tot_ev_per_atom=-6.295 raw_formation_energy_ev_per_fu=-0.98 de_polymorph_mev_per_atom=83.0 pbc="T T T"
Cr 2.811 1.020 0.703
Sc 5.370 1.948 2.456
Sb 0.124 0.045 0.315
Sb 8.146 2.955 2.805



Record 18
6
Lattice="0.000 4.346 4.346 4.346 0.000 4.346 4.346 4.346 0.000" Properties=species:S:1:pos:R:3 comment="ScCrSb4 (PBE, relaxed)" mass_density_g_cm3=5.91 e_tot_ev_per_atom=-4.950 raw_formation_energy_ev_per_fu=2.75 pbc="T T T"
Sc 6.520 6.520 6.520
Sb 3.257 5.436 5.436
Sb 3.257 3.257 3.257
Sb 5.436 3.257 5.436
Sb 5.436 5.436 3.257
Cr 0.000 0.000 0.000



Record 19
8
Lattice="7.676 0.000 0.000 0.000 7.676 0.000 3.838 3.838 3.044" Properties=species:S:1:pos:R:3 comment="Sc2CrSb (PBE, relaxed)" mass_density_g_cm3=4.88 e_tot_ev_per_atom=-6.461 raw_formation_energy_ev_per_fu=0.56 pbc="T T T"
Cr 3.838 7.676 1.522
Cr 3.838 3.838 0.000
Sb 0.000 0.000 0.000
Sb 7.676 3.838 1.522
Sc 5.757 5.887 2.283
Sc 5.627 1.919 0.761
Sc 2.049 5.757 0.761
Sc 9.595 9.465 2.283



Record 20
3
Lattice="3.293 0.000 0.000 -1.647 2.852 0.000 0.000 0.000 6.353" Properties=species:S:1:pos:R:3 comment="ScCrSb (PBE, relaxed)" mass_density_g_cm3=6.09 e_tot_ev_per_atom=-6.515 raw_formation_energy_ev_per_fu=0.53 pbc="T T T"
Sc 0.000 1.901 4.397
Cr 0.000 0.000 0.064
Sb 1.647 0.951 1.892